1.
DFT (PBE) results for YNb3Cd after structural relaxation.

abc: 4.9731 4.9731 4.9731
angles: 90.00 90.00 90.00
Fractional coordinates of all 5 atoms:
Y (0.0000, 0.0000, 0.0000)
Nb (0.0000, 0.0000, 0.5000)
Nb (0.0000, 0.5000, 0.0000)
Nb (0.5000, 0.0000, 0.0000)
Cd (0.5000, 0.5000, 0.5000)

**Energy of formation**: 908 kJ/mol of formula units
**Space-group type**: Pm-3m (221)
**Distance to the lowest polymorph of the same formula**: 323 meV per atom
**Density of states at the Fermi level**: 3.92 states/eV/cell

2.
DFT (PBE) results for EuInSn2 after structural relaxation.

abc: 11.4261 11.4261 11.4261
angles: 18.13 18.13 18.13
Fractional coordinates of all 4 atoms:
Eu (0.0000, 0.0000, 0.0000)
In (0.5000, 0.5000, 0.5000)
Sn (0.0960, 0.0960, 0.0960)
Sn (0.9040, 0.9040, 0.9040)

**Energy of formation**: 22 kJ/mol of formula units
**Space-group type**: R-3m (166)
**Density of states at the Fermi level**: 2.51 states/eV/cell

3.
DFT (PBE) results for CaIrPb2 after structural relaxation.

abc: 3.3873 3.3873 9.0986
angles: 90.00 90.00 90.00
Fractional coordinates of all 4 atoms:
Ca (0.0000, 0.0000, 0.0000)
Ir (0.5000, 0.5000, 0.1935)
Pb (0.0000, 0.0000, 0.3754)
Pb (0.5000, 0.5000, 0.6986)

**Energy of formation**: -11 kJ/mol of formula units
**Space-group type**: P4mm (99)
**Density of states at the Fermi level**: 3.51 states/eV/cell

4.
DFT (PBE) results for Rb3Mg2BiO6 after structural relaxation.

abc: 5.7516 5.7516 6.7131
angles: 98.16 98.16 120.10
Fractional coordinates of all 12 atoms:
Rb (0.0000, 0.0000, 0.0000)
Rb (0.3290, 0.6710, 0.0000)
Rb (0.6710, 0.3290, 0.0000)
Mg (0.1664, 0.8336, 0.5000)
Mg (0.8336, 0.1664, 0.5000)
Bi (0.5000, 0.5000, 0.5000)
O (0.1141, 0.4420, 0.3286)
O (0.2303, 0.2303, 0.6739)
O (0.4420, 0.1141, 0.3286)
O (0.5580, 0.8859, 0.6714)
O (0.7697, 0.7697, 0.3261)
O (0.8859, 0.5580, 0.6714)

**Space-group type**: C2/m (12)
**Uncorrected formation energy**: -1638.5 meV/atom
**Density of states at the Fermi level**: 0.00 states/eV/cell

5.
DFT (PBE) results for BaScNF2 after structural relaxation.

abc: 4.7924 4.7924 5.1035
angles: 90.00 90.00 90.00
Fractional coordinates of all 5 atoms:
Ba (0.0000, 0.0000, 0.0000)
Sc (0.5000, 0.5000, 0.5000)
N (0.0000, 0.0000, 0.5000)
F (0.0000, 0.5000, 0.0000)
F (0.5000, 0.0000, 0.0000)

**Space-group type**: P4/mmm (123)
**Uncorrected formation energy**: -972.1 meV/atom
**Distance to the lowest polymorph of the same formula**: 1651 meV per atom
**Density of states at the Fermi level**: 3.83 states/eV/cell

6.
DFT (PBE) results for RbZr3B after structural relaxation.

abc: 4.9595 4.9595 4.9595
angles: 90.00 90.00 90.00
Fractional coordinates of all 5 atoms:
Rb (0.0000, 0.0000, 0.0000)
Zr (0.0000, 0.0000, 0.5000)
Zr (0.0000, 0.5000, 0.0000)
Zr (0.5000, 0.0000, 0.0000)
B (0.5000, 0.5000, 0.5000)

**Energy of formation**: 1385 kJ/mol of formula units
**Space-group type**: Pm-3m (221)
**Distance to the lowest polymorph of the same formula**: 2184 meV per atom
**Density of states at the Fermi level**: 6.66 states/eV/cell

7.
DFT (PBE) results for Tb2DyHf after structural relaxation.

abc: 3.9931 3.9931 7.2561
angles: 90.00 90.00 90.00
Fractional coordinates of all 4 atoms:
Tb (0.0000, 0.0000, 0.2230)
Tb (0.0000, 0.0000, 0.7770)
Dy (0.5000, 0.5000, 0.5000)
Hf (0.5000, 0.5000, 0.0000)

**Energy of formation**: 84 kJ/mol of formula units
**Space-group type**: P4/mmm (123)
**Distance to the lowest polymorph of the same formula**: 102 meV per atom
**Density of states at the Fermi level**: 6.77 states/eV/cell

8.
DFT (PBE) results for PrNdEuLu after structural relaxation.

abc: 5.8366 5.8366 5.8366
angles: 60.00 60.00 60.00
Fractional coordinates of all 4 atoms:
Pr (0.0000, 0.0000, 0.0000)
Nd (0.5000, 0.5000, 0.5000)
Eu (0.2500, 0.2500, 0.2500)
Lu (0.7500, 0.7500, 0.7500)

**Energy of formation**: 47 kJ/mol of formula units
**Space-group type**: F-43m (216)
**Density of states at the Fermi level**: 6.09 states/eV/cell

9.
DFT (PBE) results for Pr5Al2Hg after structural relaxation.

abc: 9.5844 9.5844 9.5844
angles: 131.11 131.11 71.64
Fractional coordinates of all 16 atoms:
Pr (0.0000, 0.0000, 0.0000)
Pr (0.0252, 0.5252, 0.8445)
Pr (0.1807, 0.0252, 0.5000)
Pr (0.3193, 0.8193, 0.8445)
Pr (0.4748, 0.3193, 0.5000)
Pr (0.5000, 0.5000, 0.0000)
Pr (0.5252, 0.6807, 0.5000)
Pr (0.6807, 0.1807, 0.1555)
Pr (0.8193, 0.9748, 0.5000)
Pr (0.9748, 0.4748, 0.1555)
Al (0.1170, 0.3830, 0.5000)
Al (0.3830, 0.8830, 0.2659)
Al (0.6170, 0.1170, 0.7341)
Al (0.8830, 0.6170, 0.5000)
Hg (0.2500, 0.2500, 0.0000)
Hg (0.7500, 0.7500, 0.0000)

**Energy of formation**: -220 kJ/mol of formula units
**Space-group type**: I4/mcm (140)
**Density of states at the Fermi level**: 16.79 states/eV/cell

10.
DFT (PBE) results for BaRe2Ag after structural relaxation.

abc: 3.5741 3.5741 7.3488
angles: 90.00 90.00 90.00
Fractional coordinates of all 4 atoms:
Ba (0.0000, 0.0000, 0.0000)
Re (0.5000, 0.5000, 0.3454)
Re (0.5000, 0.5000, 0.6546)
Ag (0.0000, 0.0000, 0.5000)

**Energy of formation**: 475 kJ/mol of formula units
**Space-group type**: P4/mmm (123)
**Distance to the lowest polymorph of the same formula**: 700 meV per atom
**Density of states at the Fermi level**: 3.04 states/eV/cell

11.
DFT (PBE) results for RbAc2USe5 after structural relaxation.

abc: 8.9503 8.9503 8.9503
angles: 145.16 128.34 63.82
Fractional coordinates of all 9 atoms:
Rb (0.0000, 0.0000, 0.0000)
Ac (0.2958, 0.7958, 0.5000)
Ac (0.7042, 0.2042, 0.5000)
U (0.5000, 0.5000, 0.0000)
Se (0.1172, 0.3524, 0.7648)
Se (0.4123, 0.6476, 0.7648)
Se (0.5000, 0.0000, 0.5000)
Se (0.5877, 0.3524, 0.2352)
Se (0.8828, 0.6476, 0.2352)

**Space-group type**: Immm (71)
**Uncorrected formation energy**: -1592.3 meV/atom
**Density of states at the Fermi level**: 6.11 states/eV/cell

12.
DFT (PBE) results for CsIn6Sn4 after structural relaxation.

abc: 8.7304 8.7304 5.2574
angles: 90.00 90.00 120.00
Fractional coordinates of all 11 atoms:
Cs (0.0000, 0.0000, 0.0000)
In (0.2057, 0.4114, 0.5000)
In (0.2057, 0.7943, 0.5000)
In (0.5375, 0.0751, 0.0000)
In (0.5375, 0.4625, 0.0000)
In (0.5886, 0.7943, 0.5000)
In (0.9249, 0.4625, 0.0000)
Sn (0.3333, 0.6667, 0.0000)
Sn (0.4187, 0.2093, 0.5000)
Sn (0.7907, 0.2093, 0.5000)
Sn (0.7907, 0.5813, 0.5000)

**Energy of formation**: -39 kJ/mol of formula units
**Space-group type**: P-6m2 (187)
**Density of states at the Fermi level**: 5.97 states/eV/cell

no.,size of the total moment (μB/f.u.)
1,0.00
2,7.70
3,0.00
4,0.00
5,1.00
6,1.56
7,0.00
8,7.56
9,0.00
10,0.00
11,2.95
12,0.00